(1)
BaHfTe2I | GGA-PBE | relaxed

abc: 5.6701 5.6701 5.6587
angles: 90.00 90.00 90.00
Atoms (fractional coordinates):
Ba1 0.0000 0.0000 0.0000
Hf1 0.5000 0.5000 0.5000
Te1 0.0000 0.5000 0.5000
Te2 0.5000 0.0000 0.5000
I1 0.5000 0.5000 0.0000

Results
**E_tot**: -4.89 eV/atom
**Space group**: P4/mmm (123)
**Energy relative to the lowest polymorph listed for this composition**: 0.000 eV/atom
**Density**: 6.4 g/cm3
**Magnetization**: 0.000 μB per formula unit
**ΔE_f (raw)**: -0.9447 eV per atom


(2)
Zn2OF2 | GGA-PBE | relaxed

abc: 6.6736 6.6736 6.6736
angles: 127.79 127.79 76.97
Atoms (fractional coordinates):
Zn1 0.0000 0.0000 0.0000
Zn2 0.0000 0.0000 0.5000
Zn3 0.0000 0.5000 0.0000
Zn4 0.5000 0.0000 0.5000
O1 0.1250 0.8750 0.2500
O2 0.8750 0.1250 0.7500
F1 0.1333 0.3833 0.7500
F2 0.3833 0.1333 0.2500
F3 0.6167 0.8667 0.7500
F4 0.8667 0.6167 0.2500

Results
**E_tot**: -4.02 eV/atom
**Space group**: I4_1/amd (141)
**Energy relative to the lowest polymorph listed for this composition**: 0.088 eV/atom
**Density**: 3.4 g/cm3
**Magnetization**: 0.000 μB per formula unit
**ΔE_f (raw)**: -1.7660 eV per atom